1.
## Dy2Al5Ni2Pd (GGA-PBE)

Data for Dy2Al5Ni2Pd after structural relaxation.

Output
calculated formation energy: -0.6095 eV per atom

Cell: 3.9955 9.2462 9.2462 Å, 90.00 90.00 90.00°
Closest atoms and distances in Å follow each position.
Atoms (fractional coordinates):
Al 0.5000 0.2079 0.0603  2 Ni 2.65, 3 Al 2.76-2.83, 2 Pd 2.83
Al 0.5000 0.0603 0.7921  2 Ni 2.65, 3 Al 2.76-2.83, 2 Pd 2.83
Al 0.5000 0.0000 0.5000  4 Ni 2.48, 4 Al 2.76
Al 0.5000 0.9397 0.2079  2 Ni 2.65, 3 Al 2.76-2.83, 2 Pd 2.83
Al 0.5000 0.5603 0.7079  2 Ni 2.65, 3 Al 2.76-2.83, 2 Pd 2.83
Al 0.5000 0.4397 0.2921  2 Ni 2.65, 3 Al 2.76-2.83, 2 Pd 2.83
Al 0.5000 0.7079 0.4397  2 Ni 2.65, 3 Al 2.76-2.83, 2 Pd 2.83
Al 0.5000 0.2921 0.5603  2 Ni 2.65, 3 Al 2.76-2.83, 2 Pd 2.83
Al 0.5000 0.5000 0.0000  4 Ni 2.48, 4 Al 2.76
Al 0.5000 0.7921 0.9397  2 Ni 2.65, 3 Al 2.76-2.83, 2 Pd 2.83
Pd 0.0000 0.5000 0.5000  8 Al 2.83
Pd 0.0000 0.0000 0.0000  8 Al 2.83
Dy 0.0000 0.3183 0.8183  3 Ni 2.70-2.79
Dy 0.0000 0.1817 0.3183  3 Ni 2.70-2.79
Dy 0.0000 0.6817 0.1817  3 Ni 2.70-2.79
Dy 0.0000 0.8183 0.6817  3 Ni 2.70-2.79
Ni 0.0000 0.1118 0.6118  6 Al 2.48-2.65, 1 Dy 2.70
Ni 0.0000 0.8882 0.3882  6 Al 2.48-2.65, 1 Dy 2.70
Ni 0.0000 0.6118 0.8882  6 Al 2.48-2.65, 1 Dy 2.70
Ni 0.0000 0.3882 0.1118  6 Al 2.48-2.65, 1 Dy 2.70


2.
## Sr2ZnAg7 (GGA-PBE)

Data for Sr2ZnAg7 after structural relaxation.

Output
calculated formation energy: -0.1485 eV per atom

Cell: 4.4371 4.4371 12.0596 Å, 90.00 90.00 90.00°
Closest atoms and distances in Å follow each position.
Atoms (fractional coordinates):
Zn 0.5000 0.5000 0.0000  4 Ag 2.74
Ag 0.0000 0.0000 0.0000  4 Ag 2.74
Ag 0.0000 0.5000 0.8669  3 Ag 2.71-2.74, 2 Zn 2.74
Ag 0.0000 0.0000 0.5000  8 Ag 2.81-3.14
Ag 0.0000 0.5000 0.6426  5 Ag 2.71-2.81
Ag 0.5000 0.0000 0.3574  5 Ag 2.71-2.81
Ag 0.5000 0.0000 0.1331  3 Ag 2.71-2.74, 2 Zn 2.74
Ag 0.5000 0.5000 0.5000  8 Ag 2.81-3.14
Sr 0.0000 0.5000 0.2482  14 Ag 3.40-3.76, 2 Zn 3.73
Sr 0.5000 0.0000 0.7518  14 Ag 3.40-3.76, 2 Zn 3.73


3.
## NbInSeCl2 (GGA-PBE)

Data for NbInSeCl2 after structural relaxation.

Output
formation energy without anion corrections: 0.4959 eV per atom

Cell: 4.8139 6.3764 4.8139 Å, 90.00 90.00 90.00°
Closest atoms and distances in Å follow each position.
Atoms (fractional coordinates):
In 0.0000 0.0000 0.0000  4 Cl 2.41
Cl 0.0000 0.0000 0.5000  2 In 2.41
Cl 0.5000 0.0000 0.0000  2 In 2.41
Nb 0.0000 0.5000 0.0000  2 In 3.19, 4 Se 3.40
Se 0.5000 0.5000 0.5000  4 Nb 3.40


4.
## BaMgCdF6 (GGA-PBE)

Data for BaMgCdF6 after structural relaxation.

Output
formation energy without anion corrections: -3.1654 eV per atom

Cell: 7.2335 7.2905 7.2353 Å, 120.25 119.99 90.00°
Closest atoms and distances in Å follow each position.
Atoms (fractional coordinates):
Ba 0.9147 0.6647 0.8294  9 F 2.69-2.91
Ba 0.0853 0.3353 0.1706  9 F 2.69-2.91
F 0.3194 0.0603 0.2345  1 Mg 1.98
F 0.0849 0.9397 0.7655  1 Mg 1.98
F 0.3704 0.6204 0.7409  2 Cd 2.25
F 0.6806 0.3258 0.7655  1 Mg 1.98
F 0.9151 0.0603 0.2345  1 Mg 1.98
F 0.3334 0.0834 0.6668  2 Mg 2.00
F 0.6666 0.9166 0.3332  2 Mg 2.00
F 0.3194 0.6742 0.2345  1 Mg 1.98
F 0.6296 0.3796 0.2591  2 Cd 2.25
F 0.9151 0.6742 0.2345  1 Mg 1.98
F 0.6806 0.9397 0.7655  1 Mg 1.98
F 0.0849 0.3258 0.7655  1 Mg 1.98
Cd 0.5000 0.5000 0.0000  8 F 2.25-2.50
Cd 0.5000 0.0000 0.0000  8 F 2.25-2.50
Mg 0.0000 0.0000 0.5000  6 F 1.98-2.00
Mg 0.5000 0.0000 0.5000  6 F 1.98-2.00


Number 1: volume 341.6 Å³/cell. Number 2: volume 237.4 Å³/cell. Number 3: volume 147.8 Å³/cell. Number 4: volume 268.8 Å³/cell.